Material: AcSm8Er6
Method: DFT, GGA-PBE
State: relaxed

Cell: 6.549 9.548 9.548 Å, 120.00 90.00 90.00°
Fractional positions:
Er1 0.597 0.904 0.581
Er2 0.403 0.581 0.678
Er3 0.597 0.678 0.096
Er4 0.597 0.419 0.322
Er5 0.403 0.096 0.419
Er6 0.403 0.322 0.904
Sm1 0.901 0.335 0.022
Sm2 0.901 0.978 0.313
Sm3 0.099 0.313 0.335
Sm4 0.099 0.022 0.687
Sm5 0.170 0.667 0.333
Sm6 0.901 0.687 0.665
Sm7 0.099 0.665 0.978
Sm8 0.830 0.333 0.667
Ac1 0.500 0.000 0.000

## Properties
M_tot	0.0	μB/f.u.
relative energy among the computed polymorphs	0.039	eV/atom
energy of formation	0.208	eV per atom
total energy	-4.408	eV per atom
Fermi-level density of states	20.0	states/eV/cell


Material: ErTmW
Method: DFT, GGA-PBE
State: relaxed

Cell: 3.329 3.329 13.364 Å, 90.00 90.00 90.00°
Fractional positions:
W1 0.500 0.000 0.050
W2 0.000 0.500 0.950
Tm1 0.500 0.000 0.804
Tm2 0.000 0.500 0.196
Er1 0.000 0.500 0.594
Er2 0.500 0.000 0.406

## Properties
M_tot	0.0	μB/f.u.
energy of formation	0.170	eV per atom
total energy	-7.159	eV per atom
Fermi-level density of states	7.6	states/eV/cell


Q: Fermi-level density of states of number 2 (ErTmW)?
A: 7.6 states/eV/cell


Q: Among the records above, which one has the highest Fermi-level density of states?
A: AcSm8Er6


Q: Which of these has the highest energy of formation?
A: AcSm8Er6